This record from Alexandria describes a relaxed structure of Ac5InPb3. The functional is GGA-PBE.

- ΔE_f: -467 meV per atom

The structure in CIF format:
```
data_Ac5InPb3
_chemical_formula_sum 'Ac10 In2 Pb6'
_cell_length_a 10.3246
_cell_length_b 10.3246
_cell_length_c 7.2562
_cell_angle_alpha 90.00
_cell_angle_beta 90.00
_cell_angle_gamma 120.00
_space_group_name_H-M_alt 'P 63/m c m'
_space_group_IT_number 193
_space_group_name_Hall '-P 6c 2'
loop_
_atom_site_label
_atom_site_fract_x
_atom_site_fract_y
_atom_site_fract_z
Ac1 0.0000 0.2756 0.2500
Ac2 0.3333 0.6667 0.0000
In1 0.0000 0.0000 0.0000
Pb1 0.0000 0.3769 0.7500
```

=====

This record from Alexandria describes a relaxed structure of TlZnPt. The functional is GGA-PBE.

- Energy above the lowest structure with this stoichiometry: 171 meV per atom
- ΔE_f: 39 meV per atom

The structure in CIF format:
```
data_TlZnPt
_chemical_formula_sum 'Tl1 Zn1 Pt1'
_cell_length_a 3.1458
_cell_length_b 3.1458
_cell_length_c 6.7935
_cell_angle_alpha 90.00
_cell_angle_beta 90.00
_cell_angle_gamma 120.00
_space_group_name_H-M_alt 'P 3 m 1'
_space_group_IT_number 156
loop_
_space_group_symop_operation_xyz
'x,y,z'
'-y,x-y,z'
'-x+y,-x,z'
'-y,-x,z'
'-x+y,y,z'
'x,x-y,z'
loop_
_atom_site_label
_atom_site_fract_x
_atom_site_fract_y
_atom_site_fract_z
Tl1 0.0000 0.0000 0.0000
Zn1 0.3333 0.6667 0.3767
Pt1 0.6667 0.3333 0.6488
```

=====

This record from Alexandria describes a relaxed structure of PaFeGeN. The functional is GGA-PBE.

- Formation energy (no corrections): -89.1 kJ/mol of atoms

The structure in CIF format:
```
data_PaFeGeN
_chemical_formula_sum 'Pa2 Fe2 Ge2 N2'
_cell_length_a 4.0109
_cell_length_b 4.0109
_cell_length_c 7.5785
_cell_angle_alpha 90.00
_cell_angle_beta 90.00
_cell_angle_gamma 90.00
_space_group_name_H-M_alt 'P 4/n m m'
_space_group_IT_number 129
loop_
_space_group_symop_operation_xyz
'x,y,z'
'-x,-y,-z'
'-y+1/2,x,z'
'y+1/2,-x,-z'
'-x+1/2,-y+1/2,z'
'x+1/2,y+1/2,-z'
'y,-x+1/2,z'
'-y,x+1/2,-z'
'x+1/2,-y,-z'
'-x+1/2,y,z'
'-y,-x,-z'
'y,x,z'
'-x,y+1/2,-z'
'x,-y+1/2,z'
'y+1/2,x+1/2,-z'
'-y+1/2,-x+1/2,z'
loop_
_atom_site_label
_atom_site_fract_x
_atom_site_fract_y
_atom_site_fract_z
Pa1 0.2500 0.2500 0.1506
Fe1 0.2500 0.7500 0.5000
Ge1 0.2500 0.2500 0.6537
N1 0.2500 0.7500 0.0000
```

=====

| no. | total magnetization (μB per atom) | ρ (g/cm³) |
| --- | --- | --- |
| 1 | 0.001 | 9.3 |
| 2 | 0.000 | 13.3 |
| 3 | 0.007 | 10.2 |